(1)
## PaAs2H (PBE-GGA)

Data for a relaxed PaAs2H crystal.

abc: 3.772 3.975 5.103
angles: 107.58 109.97 90.34
Fractional positions:
Pa: 0.000 0.000 0.000
As: 0.354 0.406 0.681
As: 0.646 0.594 0.319
H: 0.000 0.500 0.000

## Properties
Calculated volume, Å³ per atom: 17.0
Energy above the most stable polymorph in this dataset, eV/f.u.: 0.00
Theoretical density, g/cm³: 9.32
Total magnetization, μB/atom: 0.00

(2)
## Li16Ca2Al (PBE-GGA)

Data for a relaxed Li16Ca2Al crystal.

abc: 7.489 7.489 7.489
angles: 84.02 84.02 84.02
Fractional positions:
Li: 0.012 0.494 0.494
Li: 0.043 0.043 0.043
Li: 0.146 0.425 0.871
Li: 0.146 0.871 0.425
Li: 0.156 0.156 0.631
Li: 0.156 0.631 0.156
Li: 0.286 0.788 0.788
Li: 0.425 0.146 0.871
Li: 0.425 0.871 0.146
Li: 0.494 0.012 0.494
Li: 0.494 0.494 0.012
Li: 0.631 0.156 0.156
Li: 0.788 0.286 0.788
Li: 0.788 0.788 0.286
Li: 0.871 0.146 0.425
Li: 0.871 0.425 0.146
Ca: 0.482 0.482 0.482
Ca: 0.795 0.795 0.795
Al: 0.244 0.244 0.244

## Properties
DFT total energy, eV/atom: -2.018
Calculated volume, Å³ per atom: 21.8
Theoretical density, g/cm³: 0.88
Total magnetization, μB/atom: 0.00

(3)
## Co2Hg2Bi (PBE-GGA)

Data for a relaxed Co2Hg2Bi crystal.

abc: 6.783 6.783 4.118
angles: 90.00 90.00 90.00
Fractional positions:
Co: 0.126 0.374 0.000
Co: 0.374 0.874 0.000
Co: 0.626 0.126 0.000
Co: 0.874 0.626 0.000
Hg: 0.161 0.661 0.500
Hg: 0.339 0.161 0.500
Hg: 0.661 0.839 0.500
Hg: 0.839 0.339 0.500
Bi: 0.000 0.000 0.000
Bi: 0.500 0.500 0.000

## Properties
DFT total energy, eV/atom: -3.294
Calculated volume, Å³ per atom: 18.9
Theoretical density, g/cm³: 12.76
Total magnetization, μB/atom: 0.53

(4)
## ThInGa2Pd2 (PBE-GGA)

Data for a relaxed ThInGa2Pd2 crystal.

abc: 4.418 4.418 7.070
angles: 90.00 90.00 120.00
Fractional positions:
Th: 0.000 0.000 0.000
In: 0.000 0.000 0.500
Ga: 0.333 0.667 0.742
Ga: 0.667 0.333 0.258
Pd: 0.333 0.667 0.316
Pd: 0.667 0.333 0.684

## Properties
DFT total energy, eV/atom: -5.050
Calculated volume, Å³ per atom: 19.9
Theoretical density, g/cm³: 9.71
Total magnetization, μB/atom: 0.00